1.
Below is crystalline SiCI2 at its relaxed geometry, with properties calculated at the PBE level.

Calculated values
DOS(E_F): 0.78 states/eV/atom
polymorph energy (0 for the lowest one): 0 meV per atom
uncorrected formation energy: 1739 meV per atom
theoretical density: 4.8 g/cm3
uncorrected energy: -2.70 eV per atom

Cell lengths 6.4513, 6.4513, 6.4513 Å; angles 113.00, 113.00, 102.62 degrees
Last column: nearest neighbours and their distance in Å.
Sites, in units of the cell vectors:
Si  0.0000  0.0000  0.0000  4 I 2.90
Si  0.7500  0.2500  0.5000  4 I 2.90
C  0.2500  0.7500  0.5000  4 I 2.54
C  0.5000  0.5000  0.0000  4 I 2.54
I  0.1643  0.6250  0.0393  2 C 2.54
I  0.3750  0.4143  0.5393  2 C 2.54
I  0.5857  0.1250  0.9607  2 C 2.54
I  0.8750  0.8357  0.4607  2 C 2.54

=====

2.
Below is crystalline SiCI2 at its relaxed geometry, with properties calculated at the PBE level.

Calculated values
DOS(E_F): 0.79 states/eV/atom
polymorph energy (0 for the lowest one): 194 meV per atom
uncorrected formation energy: 1932 meV per atom
theoretical density: 5.3 g/cm3
uncorrected energy: -2.50 eV per atom

Cell lengths 5.0733, 5.0733, 5.0733 Å; angles 60.00, 60.00, 60.00 degrees
Last column: nearest neighbours and their distance in Å.
Sites, in units of the cell vectors:
Si  0.0000  0.0000  0.0000  8 I 3.11
C  0.5000  0.5000  0.5000  8 I 3.11
I  0.2500  0.2500  0.2500  4 Si 3.11, 4 C 3.11
I  0.7500  0.7500  0.7500  4 C 3.11, 4 Si 3.11

=====

3.
Below is crystalline SiC2I at its relaxed geometry, with properties calculated at the PBE level.

Calculated values
DOS(E_F): 0.54 states/eV/atom
polymorph energy (0 for the lowest one): 1377 meV per atom
uncorrected formation energy: 2810 meV per atom
theoretical density: 5.7 g/cm3
uncorrected energy: -3.54 eV per atom

Cell lengths 4.1876, 4.1876, 4.1876 Å; angles 60.00, 60.00, 60.00 degrees
Last column: nearest neighbours and their distance in Å.
Sites, in units of the cell vectors:
Si  0.0000  0.0000  0.0000  8 C 2.56
C  0.2500  0.2500  0.2500  4 I 2.56, 4 Si 2.56
C  0.7500  0.7500  0.7500  4 I 2.56, 4 Si 2.56
I  0.5000  0.5000  0.5000  8 C 2.56

=====

4.
Below is crystalline Sm6Si2CI3 at its relaxed geometry, with properties calculated at the PBE level.

Calculated values
DOS(E_F): 0.49 states/eV/atom
uncorrected formation energy: -843 meV per atom
theoretical density: 6.6 g/cm3
uncorrected energy: -5.26 eV per atom

Cell lengths 7.1724, 7.1724, 8.0243 Å; angles 98.56, 98.56, 119.94 degrees
Last column: nearest neighbours and their distance in Å.
Sites, in units of the cell vectors:
Sm  0.0612  0.3668  0.1842  1 C 2.61, 2 Si 2.87
Sm  0.2434  0.2434  0.8138  1 C 2.61, 2 Si 2.87
Sm  0.3668  0.0612  0.1842  1 C 2.61, 2 Si 2.87
Sm  0.6332  0.9388  0.8158  1 C 2.61, 2 Si 2.87
Sm  0.7566  0.7566  0.1862  1 C 2.61, 2 Si 2.87
Sm  0.9388  0.6332  0.8158  1 C 2.61, 2 Si 2.87
Si  0.3337  0.6663  0.0000  6 Sm 2.87
Si  0.6663  0.3337  0.0000  6 Sm 2.87
C  0.0000  0.0000  0.0000  6 Sm 2.61
I  0.1714  0.8286  0.5000  6 Sm 3.34-3.51
I  0.5000  0.5000  0.5000  6 Sm 3.34-3.53
I  0.8286  0.1714  0.5000  6 Sm 3.34-3.51

=====

5.
Below is crystalline ZnSi2CI at its relaxed geometry, with properties calculated at the PBE level.

Calculated values
DOS(E_F): 0.62 states/eV/atom
uncorrected formation energy: 2060 meV per atom
theoretical density: 3.6 g/cm3
uncorrected energy: -2.52 eV per atom

Cell lengths 4.6294, 4.6294, 5.6632 Å; angles 90.00, 90.00, 90.00 degrees
Last column: nearest neighbours and their distance in Å.
Sites, in units of the cell vectors:
Zn  0.0000  0.0000  0.0000  4 Si 2.31
Si  0.0000  0.5000  0.0000  2 Zn 2.31
Si  0.5000  0.0000  0.0000  2 Zn 2.31
C  0.5000  0.5000  0.5000  4 I 3.27, 8 Si 3.66
I  0.0000  0.0000  0.5000  2 Zn 2.83

=====

6.
Below is crystalline Sm6CI12 at its relaxed geometry, with properties calculated at the PBE level.

Calculated values
DOS(E_F): 0.05 states/eV/atom
uncorrected formation energy: -919 meV per atom
theoretical density: 5.7 g/cm3
uncorrected energy: -3.87 eV per atom

Cell lengths 9.1938, 9.1938, 9.1938 Å; angles 74.75, 74.75, 74.75 degrees
Last column: nearest neighbours and their distance in Å.
Sites, in units of the cell vectors:
Sm  0.3007  0.3007  0.6598  1 C 2.79, 3 I 3.05-3.12
Sm  0.3007  0.6598  0.3007  1 C 2.79, 3 I 3.05-3.12
Sm  0.3402  0.6993  0.6993  1 C 2.79, 3 I 3.05-3.12
Sm  0.6598  0.3007  0.3007  1 C 2.79, 3 I 3.05-3.12
Sm  0.6993  0.3402  0.6993  1 C 2.79, 3 I 3.05-3.12
Sm  0.6993  0.6993  0.3402  1 C 2.79, 3 I 3.05-3.12
C  0.5000  0.5000  0.5000  6 Sm 2.79
I  0.0654  0.0654  0.6668  3 Sm 3.42-3.63, 4 I 3.57-3.69
I  0.0654  0.6668  0.0654  3 Sm 3.42-3.63, 4 I 3.57-3.69
I  0.0731  0.6194  0.6194  3 Sm 3.05-3.12
I  0.3332  0.9346  0.9346  3 Sm 3.42-3.63, 4 I 3.57-3.69
I  0.3806  0.3806  0.9269  3 Sm 3.05-3.12
I  0.3806  0.9269  0.3806  3 Sm 3.05-3.12
I  0.6194  0.0731  0.6194  3 Sm 3.05-3.12
I  0.6194  0.6194  0.0731  3 Sm 3.05-3.12
I  0.6668  0.0654  0.0654  3 Sm 3.42-3.63, 4 I 3.57-3.69
I  0.9269  0.3806  0.3806  3 Sm 3.05-3.12
I  0.9346  0.3332  0.9346  3 Sm 3.42-3.63, 4 I 3.57-3.69
I  0.9346  0.9346  0.3332  3 Sm 3.42-3.63, 4 I 3.57-3.69

=====

7.
Below is crystalline Sm2CI at its relaxed geometry, with properties calculated at the PBE level.

Calculated values
DOS(E_F): 0.54 states/eV/atom
uncorrected formation energy: -711 meV per atom
theoretical density: 7.5 g/cm3
uncorrected energy: -5.76 eV per atom

Cell lengths 7.9778, 7.9778, 7.9778 Å; angles 27.83, 27.83, 27.83 degrees
Last column: nearest neighbours and their distance in Å.
Sites, in units of the cell vectors:
Sm  0.0000  0.0000  0.0000  3 C 2.57
Sm  0.2181  0.2181  0.2181  3 C 2.60
C  0.6103  0.6103  0.6103  6 Sm 2.57-2.60
I  0.4420  0.4420  0.4420  6 Sm 3.34-3.35

=====

8.
Below is crystalline Sm4C2I at its relaxed geometry, with properties calculated at the PBE level.

Calculated values
DOS(E_F): 0.70 states/eV/atom
uncorrected formation energy: -455 meV per atom
theoretical density: 7.2 g/cm3
uncorrected energy: -6.01 eV per atom

Cell lengths 14.4269, 14.4269, 14.4269 Å; angles 14.96, 14.96, 14.96 degrees
Last column: nearest neighbours and their distance in Å.
Sites, in units of the cell vectors:
Sm  0.1233  0.1233  0.1233  3 C 2.59
Sm  0.2736  0.2736  0.2736  3 C 2.53
Sm  0.7264  0.7264  0.7264  3 C 2.53
Sm  0.8767  0.8767  0.8767  3 C 2.59
C  0.4237  0.4237  0.4237  6 Sm 2.53-2.59
C  0.5763  0.5763  0.5763  6 Sm 2.53-2.59
I  0.0000  0.0000  0.0000  6 Sm 3.35, 6 I 3.76

=====

| no. | total moment (μB per formula unit) |
| --- | --- |
| 1 | 0.00 |
| 2 | 1.25 |
| 3 | 0.00 |
| 4 | 0.00 |
| 5 | 1.15 |
| 6 | 0.00 |
| 7 | 0.00 |
| 8 | 0.00 |